First-principles (PBE) data for a relaxed PrCu11Ni crystal, as listed in Alexandria.

Properties
ΔH_f (0 K) = -75 meV per atom
N(E_F) = 0.331 states/eV/atom
Calculated total energy = -56.6 eV per cell
Space-group type = C2/m
ρ = 8.447 g/cm³

Cell: 6.5492 6.5492 6.4070 Å, 97.57 97.57 136.54°
Last column: nearest neighbours and their distance in Å.
Sites, in units of the cell vectors:
Pr  0.0000  0.0000  0.0000  18 Cu 3.04-3.27, 2 Ni 3.20
Cu  0.0000  0.5000  0.0000  10 Cu 2.42-2.63
Cu  0.0107  0.6569  0.6412  8 Cu 2.46-2.69, 1 Ni 2.57
Cu  0.2724  0.5014  0.7709  7 Cu 2.44-2.69, 1 Ni 2.48
Cu  0.3431  0.9893  0.3588  8 Cu 2.46-2.69, 1 Ni 2.57
Cu  0.4986  0.7276  0.2291  7 Cu 2.44-2.69, 1 Ni 2.48
Cu  0.5000  0.0000  0.0000  10 Cu 2.42-2.63
Cu  0.5000  0.5000  0.5000  2 Ni 2.42, 8 Cu 2.44-2.65
Cu  0.5014  0.2724  0.7709  7 Cu 2.44-2.69, 1 Ni 2.48
Cu  0.6569  0.0107  0.6412  8 Cu 2.46-2.69, 1 Ni 2.57
Cu  0.7276  0.4986  0.2291  7 Cu 2.44-2.69, 1 Ni 2.48
Cu  0.9893  0.3431  0.3588  8 Cu 2.46-2.69, 1 Ni 2.57
Ni  0.0000  0.0000  0.5000  10 Cu 2.42-2.57

First-principles (PBE) data for a relaxed Tb4YTl crystal, as listed in Alexandria.

Properties
ΔH_f (0 K) = 22 meV per atom
N(E_F) = 1.280 states/eV/atom
Calculated total energy = -54.4 eV per cell
Space-group type = Cmc2_1
ρ = 8.065 g/cm³

Cell: 10.9020 10.9020 6.5128 Å, 90.00 90.00 150.38°
Last column: nearest neighbours and their distance in Å.
Sites, in units of the cell vectors:
Tb  0.0394  0.9606  0.5000  2 Tl 3.06-3.10, 1 Tb 3.23
Tb  0.1828  0.8172  0.3243  1 Tl 3.07, 4 Tb 3.15-3.37
Tb  0.2475  0.7525  0.7972  1 Tl 3.14, 3 Tb 3.15-3.37, 1 Y 3.45
Tb  0.4362  0.5638  0.6775  2 Tl 3.34, 4 Tb 3.53-3.72, 2 Y 3.56-3.63
Tb  0.5638  0.4362  0.1775  2 Tl 3.34, 4 Tb 3.53-3.72, 2 Y 3.56-3.63
Tb  0.7525  0.2475  0.2972  1 Tl 3.14, 3 Tb 3.15-3.37, 1 Y 3.45
Tb  0.8172  0.1828  0.8243  1 Tl 3.07, 4 Tb 3.15-3.37
Tb  0.9606  0.0394  0.0000  2 Tl 3.06-3.10, 1 Tb 3.23
Y  0.3637  0.6363  0.1712  2 Tl 3.32, 5 Tb 3.45-3.63
Y  0.6363  0.3637  0.6712  2 Tl 3.32, 5 Tb 3.45-3.63
Tl  0.1042  0.8958  0.9279  6 Tb 3.06-3.34, 2 Y 3.32
Tl  0.8958  0.1042  0.4279  6 Tb 3.06-3.34, 2 Y 3.32

First-principles (PBE) data for a relaxed Sm6S5 crystal, as listed in Alexandria.

Properties
N(E_F) = 0.424 states/eV/atom
Calculated total energy = -69.2 eV per cell
Space-group type = C2/m
ΔE_f (raw) = -1842 meV per atom
ρ = 6.553 g/cm³

Cell: 6.8960 6.8960 6.9104 Å, 99.62 99.62 119.69°
Last column: nearest neighbours and their distance in Å.
Sites, in units of the cell vectors:
Sm  0.0782  0.4173  0.7478  5 S 2.77-2.83
Sm  0.2465  0.2465  0.2574  5 S 2.76-2.82
Sm  0.4173  0.0782  0.7478  5 S 2.77-2.83
Sm  0.5827  0.9218  0.2522  5 S 2.77-2.83
Sm  0.7535  0.7535  0.7426  5 S 2.76-2.82
Sm  0.9218  0.5827  0.2522  5 S 2.77-2.83
S  0.0000  0.0000  0.5000  6 Sm 2.76-2.83
S  0.1656  0.8344  0.0000  6 Sm 2.82
S  0.3322  0.6678  0.5000  6 Sm 2.77-2.82
S  0.6678  0.3322  0.5000  6 Sm 2.77-2.82
S  0.8344  0.1656  0.0000  6 Sm 2.82

First-principles (PBE) data for a relaxed SrCa2LaTl4 crystal, as listed in Alexandria.

Properties
ΔH_f (0 K) = -439 meV per atom
N(E_F) = 0.632 states/eV/atom
Calculated total energy = -23.6 eV per cell
Space-group type = R-3m
ρ = 7.466 g/cm³

Cell: 9.7203 9.7203 9.7203 Å, 33.56 33.56 33.56°
Last column: nearest neighbours and their distance in Å.
Sites, in units of the cell vectors:
Sr  0.0000  0.0000  0.0000  8 Tl 3.45-3.47
Ca  0.2508  0.2508  0.2508  8 Tl 3.42-3.46
Ca  0.7492  0.7492  0.7492  8 Tl 3.42-3.46
La  0.5000  0.5000  0.5000  8 Tl 3.40-3.43
Tl  0.1261  0.1261  0.1261  3 La 3.43, 4 Ca 3.43-3.46, 1 Sr 3.47
Tl  0.3764  0.3764  0.3764  1 La 3.40, 4 Ca 3.42-3.45, 3 Sr 3.45
Tl  0.6236  0.6236  0.6236  1 La 3.40, 4 Ca 3.42-3.45, 3 Sr 3.45
Tl  0.8739  0.8739  0.8739  3 La 3.43, 4 Ca 3.43-3.46, 1 Sr 3.47